# La2PrZn2Pb2

A relaxed structure of La2PrZn2Pb2 (PBE, Alexandria).

```
7
Lattice="-2.026 3.825 2.068 -3.992 1.899 -1.861 -7.472 -4.044 5.720" Properties=species:S:1:pos:R:3 pbc="T T T"
La -8.227 3.319 2.490
La -5.264 -1.639 3.436
Pb -10.451 0.898 4.789
Pb -3.040 0.782 1.138
Zn -7.996 -0.522 4.256
Zn -5.495 2.202 1.670
Pr 0.000 0.000 0.000
```

* DFT formation energy: -0.280 eV/atom
* density: 8146 kg/m3
* Fermi-level density of states: 5.35 states/eV/f.u.
* E_tot: -3.79 eV per atom